w) {"formula": "Li2VOF4", "functional": "SCAN", "state": "single point on PBEsol structure", "space_group": "Pna2_1, No. 33", "m_tot_mub_per_fu": 1.00, "cell": [[-0.356, -4.451, -2.111], [-2.538, -2.567, 5.842], [-9.891, 2.340, -3.269]], "species": ["O", "F", "F", "V", "F", "Li", "F", "F", "Li", "Li", "Li", "F", "F", "O", "O", "V", "F", "F", "F", "F", "Li", "V", "F", "F", "F", "V", "Li", "Li", "F", "Li", "O", "F"], "frac_coords": [[0.990, 0.777, 0.359], [0.963, 0.403, 0.707], [0.463, 0.597, 0.293], [0.745, 0.325, 0.571], [0.140, 0.730, 0.596], [0.298, 0.155, 0.458], [0.977, 0.597, 0.938], [0.963, 0.903, 0.793], [0.648, 0.358, 0.237], [0.648, 0.858, 0.263], [0.798, 0.345, 0.958], [0.640, 0.770, 0.096], [0.477, 0.903, 0.438], [0.490, 0.723, 0.859], [0.490, 0.223, 0.641], [0.245, 0.175, 0.071], [0.977, 0.097, 0.562], [0.617, 0.586, 0.544], [0.617, 0.086, 0.956], [0.117, 0.914, 0.044], [0.148, 0.142, 0.737], [0.745, 0.825, 0.929], [0.477, 0.403, 0.062], [0.140, 0.230, 0.904], [0.640, 0.270, 0.404], [0.245, 0.675, 0.429], [0.798, 0.845, 0.542], [0.298, 0.655, 0.042], [0.117, 0.414, 0.456], [0.148, 0.642, 0.763], [0.990, 0.277, 0.141], [0.463, 0.097, 0.207]]}

---

x) {"formula": "Li2VOF4", "functional": "SCAN", "state": "single point on PBEsol structure", "space_group": "Cmcm, No. 63", "m_tot_mub_per_fu": 1.00, "cell": [[3.556, 0.000, 0.000], [-1.778, 4.978, 0.000], [0.000, 0.000, 9.989]], "species": ["Li", "O", "F", "F", "F", "F", "Li", "Li", "V", "Li", "O", "F", "F", "F", "F", "V"], "frac_coords": [[0.132, 0.264, 0.441], [0.288, 0.576, 0.250], [0.690, 0.380, 0.404], [0.051, 0.102, 0.881], [0.949, 0.898, 0.119], [0.051, 0.102, 0.619], [0.132, 0.264, 0.059], [0.868, 0.736, 0.941], [0.185, 0.370, 0.750], [0.868, 0.736, 0.559], [0.712, 0.424, 0.750], [0.949, 0.898, 0.381], [0.310, 0.620, 0.596], [0.690, 0.380, 0.096], [0.310, 0.620, 0.904], [0.815, 0.630, 0.250]]}

---

y) {"formula": "Li2VOF4", "functional": "SCAN", "state": "single point on PBEsol structure", "space_group": "P2_1, No. 4", "m_tot_mub_per_fu": 1.00, "cell": [[3.568, -0.014, 0.000], [-1.767, 4.884, 0.000], [0.000, 0.000, 10.023]], "species": ["F", "F", "Li", "Li", "F", "F", "Li", "O", "O", "F", "F", "F", "V", "F", "V", "Li"], "frac_coords": [[0.539, 0.576, 0.876], [0.461, 0.424, 0.376], [0.637, 0.772, 0.077], [0.314, 0.129, 0.251], [0.728, 0.956, 0.262], [0.272, 0.044, 0.762], [0.363, 0.228, 0.577], [0.837, 0.173, 0.933], [0.163, 0.827, 0.433], [0.553, 0.608, 0.609], [0.806, 0.114, 0.550], [0.194, 0.886, 0.050], [0.363, 0.221, 0.941], [0.447, 0.392, 0.109], [0.637, 0.779, 0.441], [0.686, 0.871, 0.751]]}

---

Most stable structure - x); separation to the second - 0.006 eV/atom.

---

w) {"formula": "Li5VO3F2", "functional": "SCAN", "state": "single point on PBEsol structure", "space_group": "Cm, No. 8", "m_tot_mub_per_fu": 2.00, "cell": [[-3.840, 0.087, 0.277], [2.041, -3.915, 2.746], [0.334, 5.102, 3.032]], "species": ["O", "Li", "V", "O", "Li", "Li", "O", "Li", "Li", "F", "F"], "frac_coords": [[0.136, 0.271, 0.829], [0.288, 0.576, 0.693], [0.996, 0.992, 0.994], [0.496, 0.992, 0.034], [0.314, 0.628, 0.127], [0.673, 0.346, 0.850], [0.823, 0.646, 0.688], [0.966, 0.932, 0.547], [0.688, 0.376, 0.348], [0.851, 0.702, 0.207], [0.187, 0.374, 0.328]]}

---

x) {"formula": "Li5VO3F2", "functional": "SCAN", "state": "single point on PBEsol structure", "space_group": "C2/m, No. 12", "m_tot_mub_per_fu": 2.00, "cell": [[-2.814, 2.623, 0.132], [0.664, -1.872, -4.755], [-3.315, -3.717, 3.184]], "species": ["Li", "O", "V", "O", "F", "Li", "F", "Li", "Li", "O", "Li"], "frac_coords": [[0.706, 0.411, 0.310], [0.142, 0.283, 0.818], [0.000, 0.000, 0.000], [0.500, 0.000, 0.000], [0.830, 0.660, 0.659], [0.327, 0.654, 0.119], [0.170, 0.340, 0.341], [0.673, 0.346, 0.881], [0.000, 0.000, 0.500], [0.858, 0.717, 0.182], [0.294, 0.589, 0.690]]}

---

Most stable structure - x); separation to the second - 0.012 eV/atom.

---

w) {"formula": "Li3VO3F", "functional": "SCAN", "state": "single point on PBEsol structure", "space_group": "Cm, No. 8", "m_tot_mub_per_fu": 1.00, "cell": [[7.063, 0.006, -0.031], [-2.349, 6.622, 0.027], [-2.332, -3.329, 5.752]], "species": ["Li", "O", "O", "V", "O", "O", "Li", "Li", "O", "Li", "O", "V", "F", "V", "F", "Li", "Li", "Li", "O", "O", "O", "Li", "V", "O", "F", "Li", "Li", "Li", "O", "Li", "O", "F"], "frac_coords": [[0.511, 0.515, 0.251], [0.007, 0.480, 0.234], [0.000, 0.766, 0.000], [0.726, 0.755, 0.750], [0.002, 0.999, 0.777], [0.006, 0.238, 0.484], [0.492, 0.745, 0.000], [0.998, 0.481, 0.731], [0.241, 0.768, 0.764], [0.763, 0.504, 0.000], [0.773, 0.247, 0.766], [0.248, 0.971, 0.000], [0.247, 0.005, 0.499], [0.974, 0.244, 0.000], [0.748, 0.506, 0.501], [0.260, 0.264, 0.749], [0.750, 0.001, 0.496], [0.000, 0.740, 0.489], [0.478, 0.004, 0.236], [0.225, 0.223, 0.223], [0.774, 0.766, 0.246], [0.751, 0.258, 0.262], [0.976, 0.005, 0.250], [0.527, 0.520, 0.754], [0.489, 0.247, 0.000], [0.267, 0.749, 0.269], [0.255, 0.506, 0.504], [0.511, 0.251, 0.511], [0.522, 0.754, 0.516], [0.489, 0.997, 0.739], [0.740, 0.000, 0.000], [0.248, 0.492, 0.000]]}

---

x) {"formula": "Li3VO3F", "functional": "SCAN", "state": "single point on PBEsol structure", "space_group": "P-1, No. 2", "m_tot_mub_per_fu": 0.00, "cell": [[4.887, 0.023, 0.030], [-1.711, 4.761, -0.034], [-0.151, -0.248, 5.719]], "species": ["Li", "Li", "Li", "Li", "O", "V", "V", "F", "O", "O", "Li", "F", "O", "Li", "O", "O"], "frac_coords": [[0.258, 0.500, 0.370], [0.240, 0.495, 0.871], [0.760, 0.505, 0.129], [0.251, 0.001, 0.615], [0.530, 0.774, 0.649], [0.710, 0.981, 0.897], [0.290, 0.019, 0.103], [0.008, 0.748, 0.374], [0.470, 0.226, 0.351], [0.495, 0.755, 0.124], [0.749, 0.999, 0.385], [0.992, 0.252, 0.626], [0.004, 0.776, 0.899], [0.742, 0.500, 0.630], [0.996, 0.224, 0.101], [0.505, 0.245, 0.876]]}

---

Most stable structure - x); separation to the second - 0.032 eV/atom.

---

w) {"formula": "LiV5O7F", "functional": "SCAN", "state": "single point on PBEsol structure", "space_group": "R3m, No. 160", "m_tot_mub_per_fu": 4.99, "cell": [[5.852, 0.137, 0.098], [2.922, 5.072, 0.098], [2.922, 1.735, 4.767]], "species": ["O", "Li", "O", "V", "O", "O", "V", "O", "F", "V", "O", "O", "V", "V"], "frac_coords": [[0.852, 0.367, 0.367], [0.253, 0.253, 0.253], [0.367, 0.367, 0.852], [0.020, 0.020, 0.020], [0.854, 0.854, 0.407], [0.890, 0.890, 0.890], [0.654, 0.087, 0.654], [0.854, 0.407, 0.854], [0.386, 0.386, 0.386], [0.654, 0.654, 0.087], [0.367, 0.852, 0.367], [0.407, 0.854, 0.854], [0.087, 0.654, 0.654], [0.605, 0.605, 0.605]]}

---

x) {"formula": "LiV5O7F", "functional": "SCAN", "state": "single point on PBEsol structure", "space_group": "Cm, No. 8", "m_tot_mub_per_fu": 6.08, "cell": [[6.002, -0.195, -0.100], [-3.116, 5.133, 0.100], [-3.093, -1.505, 9.336]], "species": ["F", "V", "O", "Li", "F", "V", "V", "O", "V", "O", "O", "V", "V", "O", "V", "V", "O", "O", "O", "O", "O", "V", "V", "O", "O", "O", "O", "Li"], "frac_coords": [[0.368, 0.192, 0.560], [0.610, 0.547, 0.702], [0.840, 0.419, 0.803], [0.645, 0.047, 0.693], [0.374, 0.699, 0.073], [0.016, 0.001, 0.017], [0.619, 0.818, 0.437], [0.398, 0.682, 0.567], [0.676, 0.112, 0.196], [0.841, 0.927, 0.309], [0.866, 0.708, 0.574], [0.012, 0.519, 0.531], [0.221, 0.627, 0.848], [0.860, 0.189, 0.049], [0.606, 0.311, 0.917], [0.085, 0.520, 0.196], [0.381, 0.926, 0.306], [0.383, 0.962, 0.803], [0.893, 0.918, 0.811], [0.379, 0.449, 0.828], [0.885, 0.440, 0.324], [0.211, 0.108, 0.319], [0.156, 0.093, 0.702], [0.382, 0.468, 0.309], [0.881, 0.656, 0.062], [0.407, 0.182, 0.062], [0.885, 0.169, 0.567], [0.623, 0.562, 0.185]]}

---

Most stable structure - w); separation to the second - 0.065 eV/atom.

---

w) {"formula": "LiSeF2", "functional": "SCAN", "state": "single point on PBEsol structure", "space_group": "Fm-3m, No. 225", "m_tot_mub_per_fu": 2.92, "cell": [[4.236, 0.000, 0.000], [2.118, 3.669, 0.000], [2.118, 1.223, 3.459]], "species": ["Se", "F", "Li", "F"], "frac_coords": [[0.500, 0.500, 0.500], [0.750, 0.750, 0.750], [0.000, 0.000, 0.000], [0.250, 0.250, 0.250]]}

---

x) {"formula": "LiSeF2", "functional": "SCAN", "state": "single point on PBEsol structure", "space_group": "I-42d, No. 122", "m_tot_mub_per_fu": 0.00, "cell": [[-0.444, -5.025, 0.761], [0.327, 1.800, -5.024], [4.329, -0.774, -2.586]], "species": ["F", "F", "F", "Se", "Se", "F", "Li", "Li"], "frac_coords": [[0.230, 0.750, 0.875], [0.875, 0.250, 0.520], [0.375, 0.250, 0.230], [0.750, 0.500, 0.750], [0.000, 0.000, 0.000], [0.520, 0.750, 0.375], [0.500, 0.000, 0.500], [0.250, 0.500, 0.250]]}

---

Most stable structure - x); separation to the second - 0.410 eV/atom.

---

w) {"formula": "LiTcF2", "functional": "SCAN", "state": "single point on PBEsol structure", "space_group": "I-42d, No. 122", "m_tot_mub_per_fu": 2.01, "cell": [[4.756, 0.000, 0.000], [-2.378, 4.711, -0.009], [0.000, 2.409, 4.101]], "species": ["Li", "Tc", "Li", "F", "F", "F", "Tc", "F"], "frac_coords": [[0.250, 0.500, 0.250], [0.000, 0.000, 0.000], [0.500, 0.000, 0.500], [0.203, 0.750, 0.875], [0.375, 0.250, 0.203], [0.547, 0.750, 0.375], [0.750, 0.500, 0.750], [0.875, 0.250, 0.547]]}

---

x) {"formula": "LiTcF2", "functional": "SCAN", "state": "single point on PBEsol structure", "space_group": "R-3m, No. 166", "m_tot_mub_per_fu": 0.00, "cell": [[2.646, 0.000, 0.000], [1.323, 2.292, 0.000], [1.323, 0.764, 7.283]], "species": ["Tc", "Li", "F", "F"], "frac_coords": [[0.500, 0.500, 0.500], [0.000, 0.000, 0.000], [0.924, 0.924, 0.227], [0.076, 0.076, 0.773]]}

---

Most stable structure - w); separation to the second - 0.059 eV/atom.

---

w) {"formula": "LiTc2F", "functional": "SCAN", "state": "single point on PBEsol structure", "space_group": "I-42d, No. 122", "m_tot_mub_per_fu": 0.00, "cell": [[3.658, 0.000, 0.000], [1.829, 5.532, 0.000], [1.829, 0.000, 5.532]], "species": ["Tc", "Li", "Tc", "Tc", "F", "Li", "F", "Tc"], "frac_coords": [[0.875, 0.417, 0.083], [0.250, 0.500, 0.500], [0.042, 0.083, 0.583], [0.375, 0.583, 0.917], [0.000, 0.000, 0.000], [0.500, 0.000, 0.000], [0.750, 0.500, 0.500], [0.708, 0.917, 0.417]]}

---

x) {"formula": "LiTc2F", "functional": "SCAN", "state": "single point on PBEsol structure", "space_group": "Fm-3m, No. 225", "m_tot_mub_per_fu": 0.01, "cell": [[-2.329, -2.064, 2.580], [-1.210, -3.746, -0.921], [1.518, -3.165, 2.005]], "species": ["F", "Li", "Tc", "Tc"], "frac_coords": [[0.500, 0.500, 0.500], [0.000, 0.000, 0.000], [0.250, 0.250, 0.250], [0.750, 0.750, 0.750]]}

---

Most stable structure - w); separation to the second - 0.860 eV/atom.

---

w) {"formula": "Li2VF4", "functional": "SCAN", "state": "single point on PBEsol structure", "space_group": "I4/mmm, No. 139", "m_tot_mub_per_fu": 3.00, "cell": [[-3.936, -0.324, 0.975], [1.025, -0.973, 3.814], [1.380, 4.842, -1.304]], "species": ["F", "Li", "F", "V", "F", "Li", "F"], "frac_coords": [[0.000, 0.500, 0.000], [0.750, 0.250, 0.500], [0.500, 0.000, 0.000], [0.000, 0.000, 0.000], [0.764, 0.764, 0.527], [0.250, 0.750, 0.500], [0.236, 0.236, 0.473]]}

---

x) {"formula": "Li2VF4", "functional": "SCAN", "state": "single point on PBEsol structure", "space_group": "Cmmm, No. 65", "m_tot_mub_per_fu": 3.00, "cell": [[3.050, 0.000, 0.000], [0.000, 5.124, -0.005], [0.000, -1.902, 4.758]], "species": ["F", "Li", "F", "V", "Li", "F", "F"], "frac_coords": [[0.500, 0.236, 0.236], [0.500, 0.000, 0.500], [0.500, 0.764, 0.764], [0.000, 0.000, 0.000], [0.500, 0.500, 0.000], [0.000, 0.760, 0.240], [0.000, 0.240, 0.760]]}

---

Most stable structure - w); separation to the second - 0.036 eV/atom.